Compound: Ac2Pm4NdTm
Source: the Alexandria database
Functional: GGA-PBE
Structure: relaxed

Cell and atoms, written as CIF:
```
data_Ac2Pm4NdTm
_chemical_formula_sum 'Ac8 Pm16 Nd4 Tm4'
_space_group_name_H-M_alt 'C 1 2/c 1'
_space_group_IT_number 15
_space_group_name_Hall '-C 2yc'
_cell_length_a 14.117
_cell_length_b 13.736
_cell_length_c 7.163
_cell_angle_alpha 90.00
_cell_angle_beta 120.47
_cell_angle_gamma 90.00
loop_
_atom_site_label
_atom_site_type_symbol
_atom_site_fract_x
_atom_site_fract_y
_atom_site_fract_z
Ac1 Ac 0.000 0.000 0.000
Ac2 Ac 0.250 0.250 0.000
Pm1 Pm 0.000 0.265 0.015
Pm2 Pm 0.233 0.491 0.482
Nd1 Nd 0.250 0.250 0.500
Tm1 Tm 0.000 0.500 0.000
```

Calculated values
- Calculated formation energy: 0.3883 eV/atom
- E: -4.17 eV per atom

=====

Compound: AcPm6Nd2Tm
Source: the Alexandria database
Functional: GGA-PBE
Structure: relaxed

Cell and atoms, written as CIF:
```
data_AcPm6Nd2Tm
_chemical_formula_sum 'Ac4 Pm24 Nd8 Tm4'
_space_group_name_H-M_alt 'C 1 2/c 1'
_space_group_IT_number 15
_space_group_name_Hall '-C 2yc'
_cell_length_a 9.366
_cell_length_b 15.638
_cell_length_c 9.754
_cell_angle_alpha 90.00
_cell_angle_beta 95.67
_cell_angle_gamma 90.00
loop_
_atom_site_label
_atom_site_type_symbol
_atom_site_fract_x
_atom_site_fract_y
_atom_site_fract_z
Ac1 Ac 0.000 0.023 0.250
Pm1 Pm 0.058 0.191 0.944
Pm2 Pm 0.105 0.393 0.116
Pm3 Pm 0.212 0.225 0.310
Nd1 Nd 0.241 0.442 0.454
Tm1 Tm 0.000 0.412 0.750
```

Calculated values
- Calculated formation energy: 0.1176 eV/atom
- E: -4.54 eV per atom

=====

Compound: AcPmNd2Tm
Source: the Alexandria database
Functional: GGA-PBE
Structure: relaxed

Cell and atoms, written as CIF:
```
data_AcPmNd2Tm
_chemical_formula_sum 'Ac2 Pm2 Nd4 Tm2'
_space_group_name_H-M_alt 'P 1 21/m 1'
_space_group_IT_number 11
_space_group_name_Hall '-P 2yb'
_cell_length_a 6.496
_cell_length_b 5.931
_cell_length_c 9.920
_cell_angle_alpha 90.00
_cell_angle_beta 109.00
_cell_angle_gamma 90.00
loop_
_atom_site_label
_atom_site_type_symbol
_atom_site_fract_x
_atom_site_fract_y
_atom_site_fract_z
Ac1 Ac 0.234 0.250 0.303
Pm1 Pm 0.041 0.250 0.900
Nd1 Nd 0.364 0.750 0.904
Nd2 Nd 0.427 0.250 0.699
Tm1 Tm 0.160 0.750 0.501
```

Calculated values
- Calculated formation energy: 0.0441 eV/atom
- E: -4.53 eV per atom

=====

Compound: AcPmNd6Tm2
Source: the Alexandria database
Functional: GGA-PBE
Structure: relaxed

Cell and atoms, written as CIF:
```
data_AcPmNd6Tm2
_chemical_formula_sum 'Ac4 Pm4 Nd24 Tm8'
_space_group_name_H-M_alt 'C 1 2/c 1'
_space_group_IT_number 15
_space_group_name_Hall '-C 2yc'
_cell_length_a 9.474
_cell_length_b 15.383
_cell_length_c 9.800
_cell_angle_alpha 90.00
_cell_angle_beta 96.08
_cell_angle_gamma 90.00
loop_
_atom_site_label
_atom_site_type_symbol
_atom_site_fract_x
_atom_site_fract_y
_atom_site_fract_z
Ac1 Ac 0.000 0.033 0.250
Pm1 Pm 0.000 0.410 0.750
Nd1 Nd 0.066 0.179 0.945
Nd2 Nd 0.095 0.389 0.118
Nd3 Nd 0.221 0.229 0.321
Tm1 Tm 0.245 0.448 0.451
```

Calculated values
- Calculated formation energy: 0.1174 eV/atom
- E: -4.52 eV per atom

=====

Compound: AcPm6NdTm2
Source: the Alexandria database
Functional: GGA-PBE
Structure: relaxed

Cell and atoms, written as CIF:
```
data_AcPm6NdTm2
_chemical_formula_sum 'Ac4 Pm24 Nd4 Tm8'
_space_group_name_H-M_alt 'C 1 2/c 1'
_space_group_IT_number 15
_space_group_name_Hall '-C 2yc'
_cell_length_a 9.433
_cell_length_b 15.325
_cell_length_c 9.759
_cell_angle_alpha 90.00
_cell_angle_beta 95.87
_cell_angle_gamma 90.00
loop_
_atom_site_label
_atom_site_type_symbol
_atom_site_fract_x
_atom_site_fract_y
_atom_site_fract_z
Ac1 Ac 0.000 0.034 0.250
Pm1 Pm 0.067 0.180 0.945
Pm2 Pm 0.095 0.389 0.119
Pm3 Pm 0.219 0.230 0.322
Nd1 Nd 0.000 0.409 0.750
Tm1 Tm 0.245 0.448 0.451
```

Calculated values
- Calculated formation energy: 0.1199 eV/atom
- E: -4.51 eV per atom

=====

Compound: AcPm2Nd4Tm
Source: the Alexandria database
Functional: GGA-PBE
Structure: relaxed

Cell and atoms, written as CIF:
```
data_AcPm2Nd4Tm
_chemical_formula_sum 'Ac4 Pm8 Nd16 Tm4'
_space_group_name_H-M_alt 'C 1 2/c 1'
_space_group_IT_number 15
_space_group_name_Hall '-C 2yc'
_cell_length_a 13.958
_cell_length_b 13.612
_cell_length_c 7.054
_cell_angle_alpha 90.00
_cell_angle_beta 120.30
_cell_angle_gamma 90.00
loop_
_atom_site_label
_atom_site_type_symbol
_atom_site_fract_x
_atom_site_fract_y
_atom_site_fract_z
Ac1 Ac 0.250 0.250 0.000
Pm1 Pm 0.000 0.000 0.000
Pm2 Pm 0.250 0.250 0.500
Nd1 Nd 0.000 0.256 0.016
Nd2 Nd 0.246 0.492 0.491
Tm1 Tm 0.000 0.500 0.000
```

Calculated values
- Calculated formation energy: 0.3795 eV/atom
- E: -4.26 eV per atom

=====

Compound: AcPm2NdTm5
Source: the Alexandria database
Functional: GGA-PBE
Structure: relaxed

Cell and atoms, written as CIF:
```
data_AcPm2NdTm5
_chemical_formula_sum 'Ac4 Pm8 Nd4 Tm20'
_space_group_name_H-M_alt 'I 4/m c m'
_space_group_IT_number 140
_space_group_name_Hall '-I 4 2c'
_cell_length_a 8.784
_cell_length_b 8.784
_cell_length_c 15.583
_cell_angle_alpha 90.00
_cell_angle_beta 90.00
_cell_angle_gamma 90.00
loop_
_atom_site_label
_atom_site_type_symbol
_atom_site_fract_x
_atom_site_fract_y
_atom_site_fract_z
Ac1 Ac 0.000 0.000 0.250
Pm1 Pm 0.117 0.383 0.000
Nd1 Nd 0.000 0.500 0.250
Tm1 Tm 0.000 0.000 0.000
Tm2 Tm 0.206 0.294 0.369
```

Calculated values
- Calculated formation energy: 0.2494 eV/atom
- E: -4.28 eV per atom

=====

Compound: AcPm2Nd6Tm
Source: the Alexandria database
Functional: GGA-PBE
Structure: relaxed

Cell and atoms, written as CIF:
```
data_AcPm2Nd6Tm
_chemical_formula_sum 'Ac4 Pm8 Nd24 Tm4'
_space_group_name_H-M_alt 'C 1 2/c 1'
_space_group_IT_number 15
_space_group_name_Hall '-C 2yc'
_cell_length_a 9.403
_cell_length_b 15.674
_cell_length_c 9.793
_cell_angle_alpha 90.00
_cell_angle_beta 95.81
_cell_angle_gamma 90.00
loop_
_atom_site_label
_atom_site_type_symbol
_atom_site_fract_x
_atom_site_fract_y
_atom_site_fract_z
Ac1 Ac 0.000 0.023 0.250
Pm1 Pm 0.241 0.443 0.454
Nd1 Nd 0.058 0.189 0.945
Nd2 Nd 0.104 0.393 0.116
Nd3 Nd 0.213 0.225 0.310
Tm1 Tm 0.000 0.412 0.750
```

Calculated values
- Calculated formation energy: 0.1157 eV/atom
- E: -4.55 eV per atom

=====

Compound: AcPmNd2Tm5
Source: the Alexandria database
Functional: GGA-PBE
Structure: relaxed

Cell and atoms, written as CIF:
```
data_AcPmNd2Tm5
_chemical_formula_sum 'Ac4 Pm4 Nd8 Tm20'
_space_group_name_H-M_alt 'I 4/m c m'
_space_group_IT_number 140
_space_group_name_Hall '-I 4 2c'
_cell_length_a 8.784
_cell_length_b 8.784
_cell_length_c 15.623
_cell_angle_alpha 90.00
_cell_angle_beta 90.00
_cell_angle_gamma 90.00
loop_
_atom_site_label
_atom_site_type_symbol
_atom_site_fract_x
_atom_site_fract_y
_atom_site_fract_z
Ac1 Ac 0.000 0.000 0.250
Pm1 Pm 0.000 0.500 0.250
Nd1 Nd 0.117 0.383 0.000
Tm1 Tm 0.000 0.000 0.000
Tm2 Tm 0.207 0.293 0.367
```

Calculated values
- Calculated formation energy: 0.2495 eV/atom
- E: -4.28 eV per atom

=====

Compound: AcPmNdTm
Source: the Alexandria database
Functional: GGA-PBE
Structure: relaxed

Cell and atoms, written as CIF:
```
data_AcPmNdTm
_chemical_formula_sum 'Ac1 Pm1 Nd1 Tm1'
_space_group_name_H-M_alt 'P 3 m 1'
_space_group_IT_number 156
_space_group_name_Hall 'P 3 -2"'
_cell_length_a 3.7337
_cell_length_b 3.7337
_cell_length_c 11.9303
_cell_angle_alpha 90.00
_cell_angle_beta 90.00
_cell_angle_gamma 120.00
loop_
_atom_site_label
_atom_site_type_symbol
_atom_site_fract_x
_atom_site_fract_y
_atom_site_fract_z
Ac1 Ac 0.0000 0.0000 0.0000
Pm1 Pm 0.3333 0.6667 0.4891
Nd1 Nd 0.6667 0.3333 0.7358
Tm1 Tm 0.6667 0.3333 0.2535
```

Calculated values
- Calculated formation energy: 0.0560 eV/atom
- E: -4.47 eV per atom
- Energy above the most stable polymorph in this dataset: 0.000 eV per formula unit

=====

Compound: AcPmNdTm
Source: the Alexandria database
Functional: GGA-PBE
Structure: relaxed

Cell and atoms, written as CIF:
```
data_AcPmNdTm
_chemical_formula_sum 'Ac4 Pm4 Nd4 Tm4'
_space_group_name_H-M_alt 'F -4 3 m'
_space_group_IT_number 216
_space_group_name_Hall 'F -4 2 3'
_cell_length_a 8.332
_cell_length_b 8.332
_cell_length_c 8.332
_cell_angle_alpha 90.00
_cell_angle_beta 90.00
_cell_angle_gamma 90.00
loop_
_atom_site_label
_atom_site_type_symbol
_atom_site_fract_x
_atom_site_fract_y
_atom_site_fract_z
Ac1 Ac 0.000 0.000 0.000
Pm1 Pm 0.250 0.250 0.750
Nd1 Nd 0.000 0.000 0.500
Tm1 Tm 0.250 0.250 0.250
```

Calculated values
- Calculated formation energy: 0.1250 eV/atom
- E: -4.40 eV per atom
- Energy above the most stable polymorph in this dataset: 0.276 eV per formula unit

=====

Compound: AcPmNd4Tm2
Source: the Alexandria database
Functional: GGA-PBE
Structure: relaxed

Cell and atoms, written as CIF:
```
data_AcPmNd4Tm2
_chemical_formula_sum 'Ac2 Pm2 Nd8 Tm4'
_space_group_name_H-M_alt 'C 1 2/m 1'
_space_group_IT_number 12
_space_group_name_Hall '-C 2y'
_cell_length_a 11.592
_cell_length_b 5.187
_cell_length_c 10.416
_cell_angle_alpha 90.00
_cell_angle_beta 116.76
_cell_angle_gamma 90.00
loop_
_atom_site_label
_atom_site_type_symbol
_atom_site_fract_x
_atom_site_fract_y
_atom_site_fract_z
Ac1 Ac 0.000 0.000 0.000
Pm1 Pm 0.000 0.000 0.500
Nd1 Nd 0.248 0.000 0.870
Nd2 Nd 0.249 0.500 0.622
Tm1 Tm 0.001 0.500 0.744
```

Calculated values
- Calculated formation energy: 0.0346 eV/atom
- E: -4.57 eV per atom

=====

Compound: Ac2Pm2NdY6
Source: the Alexandria database
Functional: GGA-PBE
Structure: relaxed

Cell and atoms, written as CIF:
```
data_Ac2Pm2NdY6
_chemical_formula_sum 'Ac4 Pm4 Nd2 Y12'
_space_group_name_H-M_alt 'C 1 2/m 1'
_space_group_IT_number 12
_space_group_name_Hall '-C 2y'
_cell_length_a 6.291
_cell_length_b 10.900
_cell_length_c 12.041
_cell_angle_alpha 90.00
_cell_angle_beta 99.96
_cell_angle_gamma 90.00
loop_
_atom_site_label
_atom_site_type_symbol
_atom_site_fract_x
_atom_site_fract_y
_atom_site_fract_z
Ac1 Ac 0.000 0.167 0.000
Pm1 Pm 0.000 0.336 0.500
Nd1 Nd 0.000 0.000 0.500
Y1 Y 0.245 0.500 0.743
Y2 Y 0.248 0.166 0.743
```

Calculated values
- Calculated formation energy: 0.1801 eV/atom
- E: -5.39 eV per atom

=====

Compound: AcPm6Nd2Y
Source: the Alexandria database
Functional: GGA-PBE
Structure: relaxed

Cell and atoms, written as CIF:
```
data_AcPm6Nd2Y
_chemical_formula_sum 'Ac4 Pm24 Nd8 Y4'
_space_group_name_H-M_alt 'C 1 2/c 1'
_space_group_IT_number 15
_space_group_name_Hall '-C 2yc'
_cell_length_a 9.338
_cell_length_b 15.681
_cell_length_c 9.855
_cell_angle_alpha 90.00
_cell_angle_beta 96.23
_cell_angle_gamma 90.00
loop_
_atom_site_label
_atom_site_type_symbol
_atom_site_fract_x
_atom_site_fract_y
_atom_site_fract_z
Ac1 Ac 0.000 0.023 0.250
Pm1 Pm 0.061 0.191 0.945
Pm2 Pm 0.104 0.394 0.118
Pm3 Pm 0.209 0.227 0.314
Nd1 Nd 0.244 0.443 0.455
Y1 Y 0.000 0.410 0.750
```

Calculated values
- Calculated formation energy: 0.1138 eV/atom
- E: -4.75 eV per atom

=====

Compound: AcPmNdY
Source: the Alexandria database
Functional: GGA-PBE
Structure: relaxed

Cell and atoms, written as CIF:
```
data_AcPmNdY
_chemical_formula_sum 'Ac1 Pm1 Nd1 Y1'
_space_group_name_H-M_alt 'P 1 m 1'
_space_group_IT_number 6
_space_group_name_Hall 'P -2y'
_cell_length_a 5.906
_cell_length_b 3.539
_cell_length_c 7.071
_cell_angle_alpha 90.00
_cell_angle_beta 90.07
_cell_angle_gamma 90.00
loop_
_atom_site_label
_atom_site_type_symbol
_atom_site_fract_x
_atom_site_fract_y
_atom_site_fract_z
Ac1 Ac 0.000 0.000 0.000
Pm1 Pm 0.500 0.500 0.251
Nd1 Nd 0.500 0.000 0.716
Y1 Y 0.000 0.000 0.487
```

Calculated values
- Calculated formation energy: 0.2027 eV/atom
- E: -4.82 eV per atom
- Energy above the most stable polymorph in this dataset: 0.301 eV per formula unit

=====

Compound: Ac3PmNd2Y6
Source: the Alexandria database
Functional: GGA-PBE
Structure: relaxed

Cell and atoms, written as CIF:
```
data_Ac3PmNd2Y6
_chemical_formula_sum 'Ac6 Pm2 Nd4 Y12'
_space_group_name_H-M_alt 'C 1 2/m 1'
_space_group_IT_number 12
_space_group_name_Hall '-C 2y'
_cell_length_a 6.460
_cell_length_b 11.188
_cell_length_c 12.017
_cell_angle_alpha 90.00
_cell_angle_beta 100.31
_cell_angle_gamma 90.00
loop_
_atom_site_label
_atom_site_type_symbol
_atom_site_fract_x
_atom_site_fract_y
_atom_site_fract_z
Ac1 Ac 0.000 0.000 0.000
Ac2 Ac 0.000 0.333 0.000
Pm1 Pm 0.000 0.500 0.500
Nd1 Nd 0.000 0.167 0.500
Y1 Y 0.248 0.000 0.744
Y2 Y 0.248 0.333 0.744
```

Calculated values
- Calculated formation energy: 0.0336 eV/atom
- E: -5.42 eV per atom

=====

Compound: Ac2PmNdY
Source: the Alexandria database
Functional: GGA-PBE
Structure: relaxed

Cell and atoms, written as CIF:
```
data_Ac2PmNdY
_chemical_formula_sum 'Ac4 Pm2 Nd2 Y2'
_space_group_name_H-M_alt 'P m m a'
_space_group_IT_number 51
_space_group_name_Hall '-P 2a 2a'
_cell_length_a 6.422
_cell_length_b 8.987
_cell_length_c 6.878
_cell_angle_alpha 90.00
_cell_angle_beta 90.00
_cell_angle_gamma 90.00
loop_
_atom_site_label
_atom_site_type_symbol
_atom_site_fract_x
_atom_site_fract_y
_atom_site_fract_z
Ac1 Ac 0.250 0.201 0.201
Pm1 Pm 0.000 0.500 0.500
Nd1 Nd 0.250 0.500 0.918
Y1 Y 0.250 0.000 0.667
```

Calculated values
- Calculated formation energy: 0.2671 eV/atom
- E: -4.57 eV per atom

=====

Compound: AcPm5NdY2
Source: the Alexandria database
Functional: GGA-PBE
Structure: relaxed

Cell and atoms, written as CIF:
```
data_AcPm5NdY2
_chemical_formula_sum 'Ac4 Pm20 Nd4 Y8'
_space_group_name_H-M_alt 'C m c 21'
_space_group_IT_number 36
_space_group_name_Hall 'C 2c -2'
_cell_length_a 5.875
_cell_length_b 17.727
_cell_length_c 12.188
_cell_angle_alpha 90.00
_cell_angle_beta 90.00
_cell_angle_gamma 90.00
loop_
_atom_site_label
_atom_site_type_symbol
_atom_site_fract_x
_atom_site_fract_y
_atom_site_fract_z
Ac1 Ac 0.000 0.113 0.000
Pm1 Pm 0.000 0.079 0.338
Pm2 Pm 0.000 0.080 0.664
Pm3 Pm 0.000 0.268 0.796
Pm4 Pm 0.000 0.269 0.204
Pm5 Pm 0.000 0.439 0.648
Nd1 Nd 0.000 0.248 0.500
Y1 Y 0.000 0.390 0.999
Y2 Y 0.000 0.438 0.351
```

Calculated values
- Calculated formation energy: 0.0838 eV/atom
- E: -4.98 eV per atom

=====

Compound: Ac2Pm2Nd4Y
Source: the Alexandria database
Functional: GGA-PBE
Structure: relaxed

Cell and atoms, written as CIF:
```
data_Ac2Pm2Nd4Y
_chemical_formula_sum 'Ac4 Pm4 Nd8 Y2'
_space_group_name_H-M_alt 'C 1 2/m 1'
_space_group_IT_number 12
_space_group_name_Hall '-C 2y'
_cell_length_a 19.453
_cell_length_b 3.771
_cell_length_c 10.062
_cell_angle_alpha 90.00
_cell_angle_beta 115.66
_cell_angle_gamma 90.00
loop_
_atom_site_label
_atom_site_type_symbol
_atom_site_fract_x
_atom_site_fract_y
_atom_site_fract_z
Ac1 Ac 0.146 0.000 0.167
Pm1 Pm 0.165 0.500 0.504
Nd1 Nd 0.018 0.500 0.820
Nd2 Nd 0.183 0.000 0.829
Y1 Y 0.000 0.000 0.500
```

Calculated values
- Calculated formation energy: 0.0321 eV/atom
- E: -4.77 eV per atom